(1)
NaIn4Pb8 | PBE | optimized geometry

POSCAR file:
```
NaIn4Pb8
1.0
9.272 0.000 0.000
4.636 8.030 0.000
4.636 2.677 7.570
Pb In Na
8 4 1
direct
0.613 0.613 0.613
0.161 0.613 0.613
0.538 0.154 0.154
0.613 0.613 0.161
0.154 0.538 0.154
0.613 0.161 0.613
0.154 0.154 0.538
0.154 0.154 0.154
0.849 0.384 0.384
0.384 0.384 0.384
0.384 0.384 0.849
0.384 0.849 0.384
0.750 0.750 0.750
```

Results
Its total magnetization is 0.00 μB per formula unit. The calculation puts the calculated volume at 43.35 Å³ per atom. As for the raw total energy: -38.6 eV for the cell shown. As for the formation energy: 0.260 eV per atom.


(2)
BaZrSi3 | PBE | optimized geometry

POSCAR file:
```
BaZrSi3
1.0
-4.373 1.646 -2.397
-2.433 0.298 4.644
1.591 4.978 0.514
Si Zr Ba
3 1 1
direct
0.000 0.500 0.000
0.500 0.000 0.000
0.000 0.000 0.500
0.500 0.500 0.500
0.000 0.000 0.000
```

Results
Its total magnetization is 0.00 μB per formula unit. The calculation puts the calculated volume at 28.96 Å³ per atom. As for the raw total energy: -17.7 eV for the cell shown. The calculation puts the uncorrected formation energy at 1804 meV per atom.


(3)
PrDy2Al3 | PBE | optimized geometry

POSCAR file:
```
PrDy2Al3
1.0
-3.288 -4.985 -0.554
6.772 -3.752 -6.431
0.851 2.215 7.480
Dy Al Pr
4 6 2
direct
0.166 0.916 0.832
0.834 0.584 0.168
0.834 0.084 0.168
0.166 0.416 0.832
0.500 0.750 0.000
0.000 0.750 0.000
0.000 0.000 0.500
0.000 0.250 0.000
0.500 0.250 0.000
0.000 0.500 0.500
0.500 0.250 0.500
0.500 0.750 0.500
```

Results
Its total magnetization is 0.00 μB per formula unit. The calculation puts the calculated volume at 26.26 Å³ per atom. As for the raw total energy: -52.3 eV for the cell shown. As for the formation energy: -0.158 eV per atom.